DFT (GGA-PBEsol) results for a geometry-optimized FeAuSe2 structure.

The structure belongs to space group P4/mmm (No. 123); the cell edges are 3.724, 3.724 and 5.301 Å and the angles 90.00°, 90.00° and 90.00°. Symmetry generates all atoms from Fe at (0.000, 0.000, 0.000), Au at (0.500, 0.500, 0.500), Se at (0.000, 0.000, 0.500) and Se at (0.500, 0.500, 0.000).

Its energy relative to the elements, uncorrected is 0.1400 eV/atom.

---

DFT (GGA-PBEsol) results for a geometry-optimized FeAuSe2 structure.

The structure belongs to space group Immm (No. 71); the cell edges are 3.355, 4.280 and 10.946 Å and the angles 90.00°, 90.00° and 90.00°. Symmetry generates all atoms from Fe at (0.000, 0.000, 0.000), Au at (0.000, 0.000, 0.500) and Se at (0.000, 0.500, 0.348).

Its energy relative to the elements, uncorrected is 0.0167 eV/atom.

---

DFT (GGA-PBEsol) results for a geometry-optimized FeAuSe structure.

The structure belongs to space group I4mm (No. 107); the cell edges are 2.814, 2.814 and 12.102 Å and the angles 90.00°, 90.00° and 90.00°. Symmetry generates all atoms from Fe at (0.000, 0.000, 0.000), Au at (0.000, 0.000, 0.342) and Se at (0.000, 0.000, 0.604).

Its energy relative to the elements, uncorrected is 0.1276 eV/atom.

---

DFT (GGA-PBEsol) results for a geometry-optimized FeAuSe2 structure.

The structure belongs to space group I-4m2 (No. 119); the cell edges are 3.582, 3.582 and 12.410 Å and the angles 90.00°, 90.00° and 90.00°. Symmetry generates all atoms from Fe at (0.000, 0.000, 0.000), Au at (0.000, 0.500, 0.750), Se at (0.000, 0.000, 0.500) and Se at (0.000, 0.500, 0.250).

Its energy relative to the elements, uncorrected is 0.3924 eV/atom.

---

DFT (GGA-PBEsol) results for a geometry-optimized FeSiAu2 structure.

The structure belongs to space group P4/mmm (No. 123); the cell edges are 3.927, 3.927 and 3.852 Å and the angles 90.00°, 90.00° and 90.00°. Symmetry generates all atoms from Fe at (0.000, 0.000, 0.000), Si at (0.500, 0.500, 0.000) and Au at (0.000, 0.500, 0.500).

Its energy relative to the elements, uncorrected is 0.1641 eV/atom.

---

DFT (GGA-PBEsol) results for a geometry-optimized Fe2SiAu structure.

The structure belongs to space group R-3m (No. 166, hexagonal axes); the cell edges are 2.6850, 2.6850 and 24.5144 Å and the angles 90.00°, 90.00° and 120.00°. Symmetry generates all atoms from Fe at (0.0000, 0.0000, 0.2419), Si at (0.0000, 0.0000, 0.5000) and Au at (0.0000, 0.0000, 0.0000).

Its energy relative to the elements, uncorrected is 0.0420 eV/atom.

---

DFT (GGA-PBEsol) results for a geometry-optimized FeSiAu2 structure.

The structure belongs to space group R3m (No. 160, hexagonal axes); the cell edges are 2.8342, 2.8342 and 25.0520 Å and the angles 90.00°, 90.00° and 120.00°. Symmetry generates all atoms from Fe at (0.0000, 0.0000, 0.0000), Si at (0.0000, 0.0000, 0.7313), Au at (0.0000, 0.0000, 0.2482) and Au at (0.0000, 0.0000, 0.4827).

Its energy relative to the elements, uncorrected is 0.0535 eV/atom.

---

DFT (GGA-PBEsol) results for a geometry-optimized FeSiAu2 structure.

The structure belongs to space group Amm2 (No. 38); the cell edges are 3.449, 2.749 and 12.297 Å and the angles 90.00°, 90.00° and 90.00°. Symmetry generates all atoms from Fe at (0.000, 0.000, 0.000), Si at (0.500, 0.000, 0.444), Au at (0.000, 0.000, 0.296) and Au at (0.500, 0.000, 0.647).

Its energy relative to the elements, uncorrected is -0.0515 eV/atom.